1.
# PBE KNaTiAl2, optimized geometry
data_KNaTiAl2
_cell_length_a 5.212
_cell_length_b 5.212
_cell_length_c 4.937
_cell_angle_alpha 90.00
_cell_angle_beta 90.00
_cell_angle_gamma 90.00
_symmetry_space_group_name_H-M 'P 4/m m m'
_symmetry_Int_Tables_number 123
_symmetry_space_group_name_Hall '-P 4 2'
loop_
_atom_site_label
_atom_site_fract_x
_atom_site_fract_y
_atom_site_fract_z
K1 0.000 0.000 0.000
Na1 0.000 0.000 0.500
Ti1 0.500 0.500 0.000
Al1 0.000 0.500 0.500
# Calculated formation energy   1.23 eV per atom

2.
# PBE ReSbS2, optimized geometry
data_ReSbS2
_cell_length_a 6.288
_cell_length_b 6.288
_cell_length_c 9.429
_cell_angle_alpha 90.00
_cell_angle_beta 90.00
_cell_angle_gamma 90.00
_symmetry_space_group_name_H-M 'I -4 2 d'
_symmetry_Int_Tables_number 122
_symmetry_space_group_name_Hall 'I -4 2bw'
loop_
_atom_site_label
_atom_site_fract_x
_atom_site_fract_y
_atom_site_fract_z
Re1 0.000 0.000 0.000
Sb1 0.000 0.000 0.500
S1 0.174 0.250 0.125
# Uncorrected formation energy   0.32 eV per atom

3.
# PBE K2TiSn2, optimized geometry
data_K2TiSn2
_cell_length_a 4.145
_cell_length_b 4.145
_cell_length_c 23.495
_cell_angle_alpha 90.00
_cell_angle_beta 90.00
_cell_angle_gamma 90.00
_symmetry_space_group_name_H-M 'I 4/m m m'
_symmetry_Int_Tables_number 139
_symmetry_space_group_name_Hall '-I 4 2'
loop_
_atom_site_label
_atom_site_fract_x
_atom_site_fract_y
_atom_site_fract_z
K1 0.000 0.000 0.113
Ti1 0.000 0.000 0.500
Sn1 0.000 0.500 0.250
# Calculated formation energy   0.63 eV per atom
# Relative energy among the computed polymorphs   8 meV per atom

4.
# PBE K3Ho2PaTe6, optimized geometry
data_K3Ho2PaTe6
_cell_length_a 7.736
_cell_length_b 13.399
_cell_length_c 8.694
_cell_angle_alpha 90.00
_cell_angle_beta 107.25
_cell_angle_gamma 90.00
_symmetry_space_group_name_H-M 'C 1 2/m 1'
_symmetry_Int_Tables_number 12
loop_
_symmetry_equiv_pos_as_xyz
'x,y,z'
'-x,-y,-z'
'-x,y,-z'
'x,-y,z'
'x+1/2,y+1/2,z'
'-x+1/2,-y+1/2,-z'
'-x+1/2,y+1/2,-z'
'x+1/2,-y+1/2,z'
loop_
_atom_site_label
_atom_site_fract_x
_atom_site_fract_y
_atom_site_fract_z
K1 0.000 0.000 0.000
K2 0.000 0.334 0.000
Ho1 0.000 0.167 0.500
Pa1 0.000 0.500 0.500
Te1 0.234 0.000 0.710
Te2 0.238 0.332 0.710
# Uncorrected formation energy   -1.21 eV per atom

5.
# PBE Tb4NdSm2Ho2, optimized geometry
data_Tb4NdSm2Ho2
_cell_length_a 18.732
_cell_length_b 3.616
_cell_length_c 9.601
_cell_angle_alpha 90.00
_cell_angle_beta 115.66
_cell_angle_gamma 90.00
_symmetry_space_group_name_H-M 'C 1 2/m 1'
_symmetry_Int_Tables_number 12
loop_
_symmetry_equiv_pos_as_xyz
'x,y,z'
'-x,-y,-z'
'-x,y,-z'
'x,-y,z'
'x+1/2,y+1/2,z'
'-x+1/2,-y+1/2,-z'
'-x+1/2,y+1/2,-z'
'x+1/2,-y+1/2,z'
loop_
_atom_site_label
_atom_site_fract_x
_atom_site_fract_y
_atom_site_fract_z
Tb1 0.019 0.000 0.333
Tb2 0.185 0.500 0.334
Nd1 0.000 0.500 0.000
Sm1 0.148 0.500 0.667
Ho1 0.168 0.000 0.002
# Calculated formation energy   0.01 eV per atom

6.
# PBE Nd4Dy8Sc, optimized geometry
data_Nd4Dy8Sc
_cell_length_a 10.9892
_cell_length_b 10.9892
_cell_length_c 13.4183
_cell_angle_alpha 90.00
_cell_angle_beta 90.00
_cell_angle_gamma 120.00
_symmetry_space_group_name_H-M 'R -3 m'
_symmetry_Int_Tables_number 166
_symmetry_space_group_name_Hall '-R 3 2"'
loop_
_atom_site_label
_atom_site_fract_x
_atom_site_fract_y
_atom_site_fract_z
Nd1 0.0000 0.0000 0.0000
Nd2 0.0000 0.5000 0.0000
Dy1 0.0000 0.0000 0.2421
Dy2 0.0101 0.5051 0.7468
Sc1 0.0000 0.0000 0.5000
# Calculated formation energy   0.53 eV per atom

7.
# PBE PmYGaPt, optimized geometry
data_PmYGaPt
_cell_length_a 4.426
_cell_length_b 3.881
_cell_length_c 11.127
_cell_angle_alpha 90.00
_cell_angle_beta 90.00
_cell_angle_gamma 90.00
_symmetry_space_group_name_H-M 'A m m 2'
_symmetry_Int_Tables_number 38
loop_
_symmetry_equiv_pos_as_xyz
'x,y,z'
'-x,-y,z'
'-x,y,z'
'x,-y,z'
'x,y+1/2,z+1/2'
'-x,-y+1/2,z+1/2'
'-x,y+1/2,z+1/2'
'x,-y+1/2,z+1/2'
loop_
_atom_site_label
_atom_site_fract_x
_atom_site_fract_y
_atom_site_fract_z
Pm1 0.000 0.000 0.000
Y1 0.500 0.000 0.715
Ga1 0.500 0.000 0.428
Pt1 0.000 0.000 0.277
# Calculated formation energy   -0.90 eV per atom
# Relative energy among the computed polymorphs   0 meV per atom

8.
# PBE ZrSiSb4, optimized geometry
data_ZrSiSb4
_cell_length_a 8.578
_cell_length_b 8.578
_cell_length_c 8.578
_cell_angle_alpha 90.00
_cell_angle_beta 90.00
_cell_angle_gamma 90.00
_symmetry_space_group_name_H-M 'F -4 3 m'
_symmetry_Int_Tables_number 216
_symmetry_space_group_name_Hall 'F -4 2 3'
loop_
_atom_site_label
_atom_site_fract_x
_atom_site_fract_y
_atom_site_fract_z
Zr1 0.000 0.000 0.000
Si1 0.250 0.250 0.250
Sb1 0.125 0.125 0.625
# Uncorrected formation energy   0.56 eV per atom

9.
# PBE Ta2Al2Fe, optimized geometry
data_Ta2Al2Fe
_cell_length_a 6.306
_cell_length_b 6.306
_cell_length_c 3.958
_cell_angle_alpha 90.00
_cell_angle_beta 90.00
_cell_angle_gamma 90.00
_symmetry_space_group_name_H-M 'P 4/m b m'
_symmetry_Int_Tables_number 127
_symmetry_space_group_name_Hall '-P 4 2ab'
loop_
_atom_site_label
_atom_site_fract_x
_atom_site_fract_y
_atom_site_fract_z
Ta1 0.163 0.337 0.000
Al1 0.142 0.642 0.500
Fe1 0.000 0.000 0.500
# Calculated formation energy   -0.06 eV per atom

10.
# PBE HoTl2AsSe4, optimized geometry
data_HoTl2AsSe4
_cell_length_a 8.506
_cell_length_b 8.599
_cell_length_c 12.123
_cell_angle_alpha 90.00
_cell_angle_beta 90.00
_cell_angle_gamma 90.00
_symmetry_space_group_name_H-M 'I m m a'
_symmetry_Int_Tables_number 74
_symmetry_space_group_name_Hall '-I 2b 2'
loop_
_atom_site_label
_atom_site_fract_x
_atom_site_fract_y
_atom_site_fract_z
Ho1 0.250 0.250 0.250
Tl1 0.000 0.000 0.000
Tl2 0.250 0.250 0.750
As1 0.000 0.000 0.500
Se1 0.000 0.026 0.270
Se2 0.214 0.250 0.488
# Uncorrected formation energy   -0.74 eV per atom

11.
# PBE CaHf2Fe, optimized geometry
data_CaHf2Fe
_cell_length_a 6.779
_cell_length_b 6.779
_cell_length_c 6.779
_cell_angle_alpha 90.00
_cell_angle_beta 90.00
_cell_angle_gamma 90.00
_symmetry_space_group_name_H-M 'F m -3 m'
_symmetry_Int_Tables_number 225
_symmetry_space_group_name_Hall '-F 4 2 3'
loop_
_atom_site_label
_atom_site_fract_x
_atom_site_fract_y
_atom_site_fract_z
Ca1 0.000 0.000 0.000
Hf1 0.250 0.250 0.250
Fe1 0.000 0.000 0.500
# Calculated formation energy   0.50 eV per atom
# Relative energy among the computed polymorphs   40 meV per atom

12.
# PBE Na2HgBiTe4, optimized geometry
data_Na2HgBiTe4
_cell_length_a 12.572
_cell_length_b 12.910
_cell_length_c 8.977
_cell_angle_alpha 90.00
_cell_angle_beta 134.30
_cell_angle_gamma 90.00
_symmetry_space_group_name_H-M 'C 1 2/c 1'
_symmetry_Int_Tables_number 15
loop_
_symmetry_equiv_pos_as_xyz
'x,y,z'
'-x,-y,-z'
'-x,y,-z+1/2'
'x,-y,z+1/2'
'x+1/2,y+1/2,z'
'-x+1/2,-y+1/2,-z'
'-x+1/2,y+1/2,-z+1/2'
'x+1/2,-y+1/2,z+1/2'
loop_
_atom_site_label
_atom_site_fract_x
_atom_site_fract_y
_atom_site_fract_z
Na1 0.000 0.000 0.000
Na2 0.250 0.250 0.000
Hg1 0.250 0.250 0.500
Bi1 0.000 0.500 0.000
Te1 0.027 0.255 0.502
Te2 0.245 0.492 0.991
# Uncorrected formation energy   -0.37 eV per atom

13.
# PBE K2In4Sn3Sb, optimized geometry
data_K2In4Sn3Sb
_cell_length_a 5.278
_cell_length_b 5.278
_cell_length_c 11.703
_cell_angle_alpha 90.00
_cell_angle_beta 90.00
_cell_angle_gamma 90.00
_symmetry_space_group_name_H-M 'P -4 m 2'
_symmetry_Int_Tables_number 115
loop_
_symmetry_equiv_pos_as_xyz
'x,y,z'
'y,-x,-z'
'-x,-y,z'
'-y,x,-z'
'-x,y,z'
'-y,-x,-z'
'x,-y,z'
'y,x,-z'
loop_
_atom_site_label
_atom_site_fract_x
_atom_site_fract_y
_atom_site_fract_z
K1 0.000 0.500 0.247
In1 0.000 0.000 0.500
In2 0.000 0.500 0.874
In3 0.500 0.500 0.500
Sn1 0.000 0.000 0.000
Sn2 0.000 0.500 0.627
Sb1 0.500 0.500 0.000
# Uncorrected formation energy   -0.16 eV per atom

14.
# PBE InGaNi2C, optimized geometry
data_InGaNi2C
_cell_length_a 4.727
_cell_length_b 4.727
_cell_length_c 5.074
_cell_angle_alpha 90.00
_cell_angle_beta 90.00
_cell_angle_gamma 90.00
_symmetry_space_group_name_H-M 'P 4/m m m'
_symmetry_Int_Tables_number 123
_symmetry_space_group_name_Hall '-P 4 2'
loop_
_atom_site_label
_atom_site_fract_x
_atom_site_fract_y
_atom_site_fract_z
In1 0.000 0.000 0.000
Ga1 0.000 0.000 0.500
Ni1 0.000 0.500 0.000
C1 0.500 0.500 0.500
# Calculated formation energy   2.28 eV per atom

15.
# PBE CoNiCl2, optimized geometry
data_CoNiCl2
_cell_length_a 6.337
_cell_length_b 6.337
_cell_length_c 6.337
_cell_angle_alpha 90.00
_cell_angle_beta 90.00
_cell_angle_gamma 90.00
_symmetry_space_group_name_H-M 'F -4 3 m'
_symmetry_Int_Tables_number 216
_symmetry_space_group_name_Hall 'F -4 2 3'
loop_
_atom_site_label
_atom_site_fract_x
_atom_site_fract_y
_atom_site_fract_z
Co1 0.000 0.000 0.000
Ni1 0.250 0.250 0.750
Cl1 0.000 0.000 0.500
Cl2 0.250 0.250 0.250
# Relative energy among the computed polymorphs   904 meV per atom
# Uncorrected formation energy   0.75 eV per atom

16.
# PBE CrAg2C, optimized geometry
data_CrAg2C
_cell_length_a 6.215
_cell_length_b 6.215
_cell_length_c 6.215
_cell_angle_alpha 90.00
_cell_angle_beta 90.00
_cell_angle_gamma 90.00
_symmetry_space_group_name_H-M 'F m -3 m'
_symmetry_Int_Tables_number 225
_symmetry_space_group_name_Hall '-F 4 2 3'
loop_
_atom_site_label
_atom_site_fract_x
_atom_site_fract_y
_atom_site_fract_z
Cr1 0.000 0.000 0.000
Ag1 0.250 0.250 0.250
C1 0.000 0.000 0.500
# Calculated formation energy   1.53 eV per atom
# Relative energy among the computed polymorphs   121 meV per atom

17.
# PBE Si2AgAu2, optimized geometry
data_Si2AgAu2
_cell_length_a 7.412
_cell_length_b 7.412
_cell_length_c 3.271
_cell_angle_alpha 90.00
_cell_angle_beta 90.00
_cell_angle_gamma 90.00
_symmetry_space_group_name_H-M 'P 4/m b m'
_symmetry_Int_Tables_number 127
_symmetry_space_group_name_Hall '-P 4 2ab'
loop_
_atom_site_label
_atom_site_fract_x
_atom_site_fract_y
_atom_site_fract_z
Si1 0.166 0.334 0.000
Ag1 0.000 0.000 0.500
Au1 0.140 0.640 0.500
# Relative energy among the computed polymorphs   111 meV per atom
# Uncorrected formation energy   0.25 eV per atom

18.
# PBE Sc2ZnPd2, optimized geometry
data_Sc2ZnPd2
_cell_length_a 4.576
_cell_length_b 4.576
_cell_length_c 10.241
_cell_angle_alpha 90.00
_cell_angle_beta 90.00
_cell_angle_gamma 90.00
_symmetry_space_group_name_H-M 'I 4/m m m'
_symmetry_Int_Tables_number 139
_symmetry_space_group_name_Hall '-I 4 2'
loop_
_atom_site_label
_atom_site_fract_x
_atom_site_fract_y
_atom_site_fract_z
Sc1 0.000 0.500 0.250
Zn1 0.000 0.000 0.000
Pd1 0.000 0.000 0.378
# Calculated formation energy   -0.35 eV per atom

19.
# PBE BaHf3B, optimized geometry
data_BaHf3B
_cell_length_a 4.836
_cell_length_b 4.836
_cell_length_c 4.836
_cell_angle_alpha 90.00
_cell_angle_beta 90.00
_cell_angle_gamma 90.00
_symmetry_space_group_name_H-M 'P m -3 m'
_symmetry_Int_Tables_number 221
_symmetry_space_group_name_Hall '-P 4 2 3'
loop_
_atom_site_label
_atom_site_fract_x
_atom_site_fract_y
_atom_site_fract_z
Ba1 0.000 0.000 0.000
Hf1 0.000 0.500 0.500
B1 0.500 0.500 0.500
# Calculated formation energy   0.41 eV per atom

20.
# PBE TiInAg, optimized geometry
data_TiInAg
_cell_length_a 15.437
_cell_length_b 3.021
_cell_length_c 5.178
_cell_angle_alpha 90.00
_cell_angle_beta 109.51
_cell_angle_gamma 90.00
_symmetry_space_group_name_H-M 'C 1 2/m 1'
_symmetry_Int_Tables_number 12
loop_
_symmetry_equiv_pos_as_xyz
'x,y,z'
'-x,-y,-z'
'-x,y,-z'
'x,-y,z'
'x+1/2,y+1/2,z'
'-x+1/2,-y+1/2,-z'
'-x+1/2,y+1/2,-z'
'x+1/2,-y+1/2,z'
loop_
_atom_site_label
_atom_site_fract_x
_atom_site_fract_y
_atom_site_fract_z
Ti1 0.079 0.000 0.416
In1 0.089 0.500 0.920
Ag1 0.247 0.500 0.733
# Calculated formation energy   -0.04 eV per atom